Entry from Alexandria: an optimized crystal structure of PmPrRuBr (GGA-PBE).

D(E_F) = 2.64 states/eV/f.u.
Volume = 342.3 Å³ per cell
Total DFT energy (no corrections) = -5.85 eV/atom
Energy relative to the elements, uncorrected = -0.73 eV per atom

Cell: 4.071 4.071 23.853 Å, 90.00 90.00 120.00°
Positions (direct):
Pm1 0.000 0.000 0.000
Pm2 0.333 0.667 0.667
Pm3 0.667 0.333 0.333
Pr1 0.000 0.000 0.202
Pr2 0.333 0.667 0.869
Pr3 0.667 0.333 0.536
Ru1 0.000 0.000 0.602
Ru2 0.333 0.667 0.269
Ru3 0.667 0.333 0.935
Br1 0.000 0.000 0.432
Br2 0.333 0.667 0.098
Br3 0.667 0.333 0.765

Entry from Alexandria: an optimized crystal structure of PmPrSBr (GGA-PBE).

D(E_F) = 2.80 states/eV/f.u.
Volume = 211.6 Å³ per cell
Total DFT energy (no corrections) = -5.41 eV/atom
Energy relative to the elements, uncorrected = -1.58 eV per atom

Cell: 6.864 3.968 8.096 Å, 90.00 106.34 90.00°
Positions (direct):
Pm1 0.000 0.000 0.000
Pm2 0.500 0.500 0.000
Pr1 0.197 0.000 0.592
Pr2 0.697 0.500 0.592
S1 0.100 0.500 0.800
S2 0.600 0.000 0.800
Br1 0.428 0.000 0.285
Br2 0.928 0.500 0.285